DFT (PBE with a Hubbard U) results for a geometry-optimized Zn2CoPbF structure. Values from VASP.

```
&SYSTEM
  ibrav = 0, nat = 5, ntyp = 4
/
ATOMIC_SPECIES
Zn 65.41 Zn.upf
Co 58.93 Co.upf
Pb 207.20 Pb.upf
F 19.00 F.upf
CELL_PARAMETERS angstrom
5.390 0.000 0.000
0.000 5.390 0.000
0.000 0.000 4.576
ATOMIC_POSITIONS angstrom
Zn 0.000 2.695 0.000
Zn 2.695 0.000 0.000
Co 0.000 0.000 2.288
Pb 2.695 2.695 0.000
F 2.695 2.695 2.288
```

## Properties
Its density of states at the Fermi level is 0.374 states/eV/atom. Its energy is -11.90 eV per formula unit.